K2Sm2SbO6 | PBE | relaxed

Calculated values
**DOS at the Fermi energy**: 5.749 states/eV per cell
**Space group**: C2/m, No. 12
**Total moment**: 0.0 μB/cell
**ΔE_f (raw)**: -2401 kJ/mol of formula units
**V**: 204 Å³ per cell

```
11
Lattice="3.0374 -5.2303 0.0000 3.0374 5.2303 0.0000 -1.8273 0.0000 6.4212" Properties=species:S:1:pos:R:3 pbc="T T T"
K 3.0374 3.5472 0.0000
K 3.0374 -3.5472 0.0000
Sm 2.1238 1.7265 3.2106
Sm 2.1238 -1.7265 3.2106
Sb -0.9136 0.0000 3.2106
O 0.0207 1.6694 4.3336
O 0.9242 0.0000 2.0746
O 0.0207 -1.6694 4.3336
O 4.2269 1.6694 2.0876
O 3.3233 0.0000 4.3466
O 4.2269 -1.6694 2.0876
```